[1]
A plane-wave DFT calculation with PBE was carried out for a relaxed structure of CrRh2Cl.

Computed properties:
**ΔE to the lowest computed polymorph**: 0.0 meV/atom
**Uncorrected formation energy**: 0.06 eV per atom
**Total DFT energy (no corrections)**: -25.92 eV/cell

POSCAR file:
```
CrRh2Cl
1.0
2.953 0.000 0.000
0.000 3.047 0.000
0.000 0.000 7.059
Cr Rh Cl
1 2 1
direct
0.000 0.000 0.000
0.500 0.500 0.201
0.500 0.500 0.799
0.000 0.500 0.500
```



[2]
A plane-wave DFT calculation with PBE was carried out for a relaxed structure of CrRh2Cl.

Computed properties:
**ΔE to the lowest computed polymorph**: 460.5 meV/atom
**Uncorrected formation energy**: 0.52 eV per atom
**Total DFT energy (no corrections)**: -24.08 eV/cell

POSCAR file:
```
CrRh2Cl
1.0
4.514 0.000 0.000
0.000 4.514 0.000
0.000 0.000 2.907
Cr Rh Cl
1 2 1
direct
0.000 0.000 0.000
0.000 0.500 0.500
0.500 0.000 0.500
0.500 0.500 0.000
```



[3]
A plane-wave DFT calculation with PBE was carried out for a relaxed structure of CrRh2Cl.

Computed properties:
**ΔE to the lowest computed polymorph**: 467.2 meV/atom
**Uncorrected formation energy**: 0.53 eV per atom
**Total DFT energy (no corrections)**: -24.05 eV/cell

POSCAR file:
```
CrRh2Cl
1.0
-2.303 2.340 2.889
2.303 -2.340 2.889
2.303 2.340 -2.889
Cr Rh Cl
1 2 1
direct
0.000 0.000 0.000
0.273 0.773 0.500
0.513 0.513 0.000
0.867 0.367 0.500
```



[4]
A plane-wave DFT calculation with PBE was carried out for a relaxed structure of CrRh2Cl.

Computed properties:
**ΔE to the lowest computed polymorph**: 310.2 meV/atom
**Uncorrected formation energy**: 0.37 eV per atom
**Total DFT energy (no corrections)**: -24.68 eV/cell

POSCAR file:
```
CrRh2Cl
1.0
1.456 -2.484 0.000
1.456 2.484 0.000
0.000 0.000 8.561
Cr Rh Cl
1 2 1
direct
0.000 0.000 0.000
0.000 0.000 0.499
0.500 0.500 0.239
0.500 0.500 0.784
```



[5]
A plane-wave DFT calculation with PBE was carried out for a relaxed structure of CrRh2Cl.

Computed properties:
**ΔE to the lowest computed polymorph**: 223.7 meV/atom
**Uncorrected formation energy**: 0.29 eV per atom
**Total DFT energy (no corrections)**: -25.02 eV/cell

POSCAR file:
```
CrRh2Cl
1.0
4.556 -1.472 0.000
4.556 1.472 0.000
-0.409 0.000 4.505
Cr Rh Cl
1 2 1
direct
0.000 0.000 0.000
0.277 0.277 0.771
0.723 0.723 0.229
0.500 0.500 0.500
```



[6]
A plane-wave DFT calculation with PBE was carried out for a relaxed structure of CrRh2Cl.

Computed properties:
**ΔE to the lowest computed polymorph**: 452.7 meV/atom
**Uncorrected formation energy**: 0.52 eV per atom
**Total DFT energy (no corrections)**: -24.11 eV/cell

POSCAR file:
```
CrRh2Cl
1.0
2.915 -3.482 0.000
2.915 3.482 0.000
0.000 0.000 2.919
Cr Rh Cl
1 2 1
direct
0.000 0.000 0.000
0.000 0.500 0.500
0.500 0.000 0.500
0.500 0.500 0.000
```



[7]
A plane-wave DFT calculation with PBE was carried out for a relaxed structure of CrRh2Cl.

Computed properties:
**ΔE to the lowest computed polymorph**: 456.7 meV/atom
**Uncorrected formation energy**: 0.52 eV per atom
**Total DFT energy (no corrections)**: -24.09 eV/cell

POSCAR file:
```
CrRh2Cl
1.0
-2.015 2.015 3.645
2.015 -2.015 3.645
2.015 2.015 -3.645
Cr Rh Cl
1 2 1
direct
0.000 0.000 0.000
0.250 0.750 0.500
0.750 0.250 0.500
0.500 0.500 0.000
```



[8]
A plane-wave DFT calculation with PBE was carried out for a relaxed structure of CrRh2Cl.

Computed properties:
**ΔE to the lowest computed polymorph**: 95.3 meV/atom
**Uncorrected formation energy**: 0.16 eV per atom
**Total DFT energy (no corrections)**: -25.54 eV/cell

POSCAR file:
```
CrRh2Cl
1.0
3.017 0.000 0.000
0.000 3.032 0.000
0.000 0.000 6.683
Cr Rh Cl
1 2 1
direct
0.000 0.000 0.000
0.500 0.500 0.207
0.500 0.500 0.793
0.000 0.000 0.500
```



[9]
A plane-wave DFT calculation with PBE was carried out for a relaxed structure of CrRhCl.

Computed properties:
**ΔE to the lowest computed polymorph**: 0.0 meV/atom
**Uncorrected formation energy**: 0.01 eV per atom
**Total DFT energy (no corrections)**: -18.79 eV/cell

POSCAR file:
```
CrRhCl
1.0
3.079 0.000 0.000
-1.539 2.666 0.000
0.000 0.000 6.057
Cr Rh Cl
1 1 1
direct
0.000 0.000 0.000
0.667 0.333 0.289
0.333 0.667 0.723
```



[10]
A plane-wave DFT calculation with PBE was carried out for a relaxed structure of CrRhCl.

Computed properties:
**ΔE to the lowest computed polymorph**: 146.3 meV/atom
**Uncorrected formation energy**: 0.16 eV per atom
**Total DFT energy (no corrections)**: -18.35 eV/cell

POSCAR file:
```
CrRhCl
1.0
-1.405 1.405 5.795
1.405 -1.405 5.795
1.405 1.405 -5.795
Cr Rh Cl
1 1 1
direct
0.000 0.000 0.000
0.636 0.636 0.000
0.368 0.368 0.000
```



[11]
A plane-wave DFT calculation with PBE was carried out for a relaxed structure of CrRh2Cl.

Computed properties:
**ΔE to the lowest computed polymorph**: 147.3 meV/atom
**Uncorrected formation energy**: 0.21 eV per atom
**Total DFT energy (no corrections)**: -25.33 eV/cell

POSCAR file:
```
CrRh2Cl
1.0
1.417 0.818 8.262
-1.417 0.818 8.262
0.000 -1.636 8.262
Cr Rh Cl
1 2 1
direct
0.000 0.000 0.000
0.255 0.255 0.255
0.745 0.745 0.745
0.500 0.500 0.500
```



[12]
A plane-wave DFT calculation with PBE was carried out for a relaxed structure of CrRhCl.

Computed properties:
**ΔE to the lowest computed polymorph**: 398.6 meV/atom
**Uncorrected formation energy**: 0.41 eV per atom
**Total DFT energy (no corrections)**: -17.60 eV/cell

POSCAR file:
```
CrRhCl
1.0
4.131 0.000 0.000
-2.066 3.578 0.000
0.000 0.000 3.155
Cr Rh Cl
1 1 1
direct
0.000 0.000 0.000
0.667 0.333 0.399
0.333 0.667 0.658
```



[13]
A plane-wave DFT calculation with PBE was carried out for a relaxed structure of CrRh2Cl.

Computed properties:
**ΔE to the lowest computed polymorph**: 492.4 meV/atom
**Uncorrected formation energy**: 0.56 eV per atom
**Total DFT energy (no corrections)**: -23.95 eV/cell

POSCAR file:
```
CrRh2Cl
1.0
0.000 3.098 3.098
3.098 0.000 3.098
3.098 3.098 0.000
Cr Rh Cl
1 2 1
direct
0.000 0.000 0.000
0.250 0.250 0.250
0.750 0.750 0.750
0.500 0.500 0.500
```



[14]
A plane-wave DFT calculation with PBE was carried out for a relaxed structure of CrRhCl.

Computed properties:
**ΔE to the lowest computed polymorph**: 516.4 meV/atom
**Uncorrected formation energy**: 0.53 eV per atom
**Total DFT energy (no corrections)**: -17.24 eV/cell

POSCAR file:
```
CrRhCl
1.0
0.000 2.907 2.907
2.907 0.000 2.907
2.907 2.907 0.000
Cr Rh Cl
1 1 1
direct
0.000 0.000 0.000
0.250 0.250 0.250
0.750 0.750 0.750
```



[15]
A plane-wave DFT calculation with PBE was carried out for a relaxed structure of Cr3RhCl.

Computed properties:
**ΔE to the lowest computed polymorph**: 142.8 meV/atom
**Uncorrected formation energy**: 1.03 eV per atom
**Total DFT energy (no corrections)**: -32.93 eV/cell

POSCAR file:
```
Cr3RhCl
1.0
4.846 0.000 0.000
0.000 4.846 0.000
0.000 0.000 4.846
Cr Rh Cl
3 1 1
direct
0.000 0.000 0.500
0.000 0.500 0.000
0.500 0.000 0.000
0.000 0.000 0.000
0.500 0.500 0.500
```



[16]
A plane-wave DFT calculation with PBE was carried out for a relaxed structure of CrRh2Cl.

Computed properties:
**ΔE to the lowest computed polymorph**: 121.7 meV/atom
**Uncorrected formation energy**: 0.19 eV per atom
**Total DFT energy (no corrections)**: -25.43 eV/cell

POSCAR file:
```
CrRh2Cl
1.0
1.402 0.809 8.530
-1.402 0.809 8.530
0.000 -1.619 8.530
Cr Rh Cl
1 2 1
direct
0.000 0.000 0.000
0.499 0.499 0.499
0.745 0.745 0.745
0.268 0.268 0.268
```



[17]
A plane-wave DFT calculation with PBE was carried out for a relaxed structure of CrRh2Cl.

Computed properties:
**ΔE to the lowest computed polymorph**: 354.7 meV/atom
**Uncorrected formation energy**: 0.42 eV per atom
**Total DFT energy (no corrections)**: -24.50 eV/cell

POSCAR file:
```
CrRh2Cl
1.0
-1.433 2.248 4.488
1.433 -2.248 4.488
1.433 2.248 -4.488
Cr Rh Cl
1 2 1
direct
0.000 0.000 0.000
0.244 0.744 0.500
0.533 0.533 0.000
0.785 0.285 0.500
```



[18]
A plane-wave DFT calculation with PBE was carried out for a relaxed structure of CrRhCl3.

Computed properties:
**ΔE to the lowest computed polymorph**: 0.0 meV/atom
**Uncorrected formation energy**: 0.02 eV per atom
**Total DFT energy (no corrections)**: -22.40 eV/cell

POSCAR file:
```
CrRhCl3
1.0
4.806 0.000 0.000
0.000 4.806 0.000
0.000 0.000 4.806
Cr Rh Cl
1 1 3
direct
0.000 0.000 0.000
0.500 0.500 0.500
0.000 0.500 0.500
0.500 0.000 0.500
0.500 0.500 0.000
```



[19]
A plane-wave DFT calculation with PBE was carried out for a relaxed structure of CrRh2Cl.

Computed properties:
**ΔE to the lowest computed polymorph**: 376.3 meV/atom
**Uncorrected formation energy**: 0.44 eV per atom
**Total DFT energy (no corrections)**: -24.41 eV/cell

POSCAR file:
```
CrRh2Cl
1.0
2.855 0.000 0.000
0.000 4.488 0.000
0.000 0.000 4.676
Cr Rh Cl
1 2 1
direct
0.000 0.000 0.000
0.000 0.500 0.500
0.500 0.500 0.000
0.500 0.000 0.500
```



[20]
A plane-wave DFT calculation with PBE was carried out for a relaxed structure of Cr3RhCl.

Computed properties:
**ΔE to the lowest computed polymorph**: 0.0 meV/atom
**Uncorrected formation energy**: 0.89 eV per atom
**Total DFT energy (no corrections)**: -33.64 eV/cell

POSCAR file:
```
Cr3RhCl
1.0
4.099 0.000 0.000
0.000 4.099 0.000
0.000 0.000 4.099
Cr Rh Cl
3 1 1
direct
0.000 0.000 0.500
0.000 0.500 0.000
0.500 0.000 0.000
0.500 0.500 0.500
0.000 0.000 0.000
```



[21]
A plane-wave DFT calculation with PBE was carried out for a relaxed structure of CrRh2Cl.

Computed properties:
**ΔE to the lowest computed polymorph**: 146.1 meV/atom
**Uncorrected formation energy**: 0.21 eV per atom
**Total DFT energy (no corrections)**: -25.33 eV/cell

POSCAR file:
```
CrRh2Cl
1.0
3.026 0.000 0.000
0.000 3.371 0.000
-0.001 0.000 6.595
Cr Rh Cl
1 2 1
direct
0.000 0.000 0.000
0.001 0.000 0.403
0.500 0.500 0.208
0.002 0.500 0.723
```



[22]
A plane-wave DFT calculation with PBE was carried out for a relaxed structure of CrRhCl4.

Computed properties:
**Uncorrected formation energy**: 1.05 eV per atom
**Total DFT energy (no corrections)**: -18.09 eV/cell

POSCAR file:
```
CrRhCl4
1.0
0.000 4.084 4.084
4.084 0.000 4.084
4.084 4.084 0.000
Cr Rh Cl
1 1 4
direct
0.000 0.000 0.000
0.750 0.750 0.750
0.376 0.376 0.376
0.376 0.376 0.873
0.376 0.873 0.376
0.873 0.376 0.376
```



[23]
A plane-wave DFT calculation with PBE was carried out for a relaxed structure of CrRhSCl2.

Computed properties:
**ΔE to the lowest computed polymorph**: 0.0 meV/atom
**Uncorrected formation energy**: 0.18 eV per atom
**Total DFT energy (no corrections)**: -23.91 eV/cell

POSCAR file:
```
CrRhSCl2
1.0
4.831 0.000 0.000
0.000 4.831 0.000
0.000 0.000 4.598
Cr Rh S Cl
1 1 1 2
direct
0.000 0.000 0.000
0.500 0.500 0.500
0.500 0.500 0.000
0.000 0.500 0.500
0.500 0.000 0.500
```



[24]
A plane-wave DFT calculation with PBE was carried out for a relaxed structure of CrRhSCl2.

Computed properties:
**ΔE to the lowest computed polymorph**: 68.8 meV/atom
**Uncorrected formation energy**: 0.25 eV per atom
**Total DFT energy (no corrections)**: -23.57 eV/cell

POSCAR file:
```
CrRhSCl2
1.0
4.633 0.000 0.000
0.000 4.633 0.000
0.000 0.000 4.863
Cr Rh S Cl
1 1 1 2
direct
0.000 0.000 0.000
0.500 0.500 0.500
0.000 0.000 0.500
0.000 0.500 0.000
0.500 0.000 0.000
```



[25]
A plane-wave DFT calculation with PBE was carried out for a relaxed structure of CrRuCl2.

Computed properties:
**ΔE to the lowest computed polymorph**: 691.1 meV/atom
**Uncorrected formation energy**: 0.48 eV per atom
**Total DFT energy (no corrections)**: -20.69 eV/cell

POSCAR file:
```
CrRuCl2
1.0
-1.793 1.793 5.553
1.793 -1.793 5.553
1.793 1.793 -5.553
Cr Ru Cl
1 1 2
direct
0.000 0.000 0.000
0.250 0.750 0.500
0.500 0.500 0.000
0.750 0.250 0.500
```



[26]
A plane-wave DFT calculation with PBE was carried out for a relaxed structure of Cr2RuCl2.

Computed properties:
**ΔE to the lowest computed polymorph**: 80.2 meV/atom
**Uncorrected formation energy**: 0.73 eV per atom
**Total DFT energy (no corrections)**: -28.58 eV/cell

POSCAR file:
```
Cr2RuCl2
1.0
-1.931 1.931 5.165
1.931 -1.931 5.165
1.931 1.931 -5.165
Cr Ru Cl
2 1 2
direct
0.094 0.094 0.000
0.906 0.906 0.000
0.500 0.500 0.000
0.250 0.750 0.500
0.750 0.250 0.500
```



[27]
A plane-wave DFT calculation with PBE was carried out for a relaxed structure of CrRuCl2.

Computed properties:
**ΔE to the lowest computed polymorph**: 218.5 meV/atom
**Uncorrected formation energy**: 0.00 eV per atom
**Total DFT energy (no corrections)**: -22.58 eV/cell

POSCAR file:
```
CrRuCl2
1.0
2.987 0.000 0.000
0.000 2.987 0.000
0.000 0.000 8.380
Cr Ru Cl
1 1 2
direct
0.000 0.000 0.000
0.500 0.500 0.185
0.000 0.000 0.387
0.500 0.500 0.812
```



[28]
A plane-wave DFT calculation with PBE was carried out for a relaxed structure of CrRuCl2.

Computed properties:
**ΔE to the lowest computed polymorph**: 87.7 meV/atom
**Uncorrected formation energy**: -0.13 eV per atom
**Total DFT energy (no corrections)**: -23.10 eV/cell

POSCAR file:
```
CrRuCl2
1.0
3.126 0.000 0.000
0.000 2.864 0.000
-0.022 0.000 8.507
Cr Ru Cl
1 1 2
direct
0.000 0.000 0.000
0.501 0.500 0.165
0.502 0.000 0.392
0.998 0.500 0.796
```



[29]
A plane-wave DFT calculation with PBE was carried out for a relaxed structure of CrRuCl4.

Computed properties:
**Uncorrected formation energy**: 1.17 eV per atom
**Total DFT energy (no corrections)**: -19.25 eV/cell

POSCAR file:
```
CrRuCl4
1.0
0.000 4.084 4.084
4.084 0.000 4.084
4.084 4.084 0.000
Cr Ru Cl
1 1 4
direct
0.000 0.000 0.000
0.750 0.750 0.750
0.375 0.375 0.375
0.375 0.375 0.874
0.375 0.874 0.375
0.874 0.375 0.375
```



[30]
A plane-wave DFT calculation with PBE was carried out for a relaxed structure of CrRuCl3.

Computed properties:
**ΔE to the lowest computed polymorph**: 550.1 meV/atom
**Uncorrected formation energy**: 0.77 eV per atom
**Total DFT energy (no corrections)**: -20.59 eV/cell

POSCAR file:
```
CrRuCl3
1.0
4.617 0.000 0.000
0.000 4.617 0.000
0.000 0.000 4.617
Cr Ru Cl
1 1 3
direct
0.000 0.000 0.000
0.500 0.500 0.500
0.000 0.000 0.500
0.000 0.500 0.000
0.500 0.000 0.000
```